<1>
DFT (PBE) results for crystalline NdSmGd at its relaxed geometry.

Summary:
* size of the total moment: 8.04 μB per formula unit
* D(E_F): 6.24 states/eV/f.u.

abc: 4.2455 4.2455 11.3461
angles: 90.00 90.00 90.00
With the nearest neighbours (Å) after each atom.
Space group I4mm (No. 107)
One atom of each set of equivalent atoms:
Nd 0.0000 0.0000 0.0000  5 Gd 3.54-3.79, 5 Sm 3.60-3.69
Sm 0.0000 0.0000 0.6745  5 Gd 3.51-3.86, 5 Nd 3.60-3.69
Gd 0.0000 0.0000 0.3343  5 Sm 3.51-3.86, 5 Nd 3.54-3.79

<2>
DFT (PBE) results for crystalline NdSmGd at its relaxed geometry.

Summary:
* size of the total moment: 7.33 μB per formula unit
* D(E_F): 4.71 states/eV/f.u.

abc: 3.6377 3.6377 8.8686
angles: 90.00 90.00 120.00
With the nearest neighbours (Å) after each atom.
Space group P3m1 (No. 156)
One atom of each set of equivalent atoms:
Nd 0.0000 0.0000 0.0000  3 Gd 3.63, 6 Nd 3.64, 3 Sm 3.64
Sm 0.6667 0.3333 0.3357  3 Gd 3.60, 6 Sm 3.64, 3 Nd 3.64
Gd 0.3333 0.6667 0.6658  3 Sm 3.60, 3 Nd 3.63, 6 Gd 3.64

Which one sits at the bottom of the stability order? <1> does.

<1>
DFT (PBE) results for crystalline Nd2SmGd at its relaxed geometry.

Summary:
* size of the total moment: 7.00 μB per formula unit
* D(E_F): 7.72 states/eV/f.u.

abc: 3.5538 3.5538 37.9808
angles: 90.00 90.00 120.00
With the nearest neighbours (Å) after each atom.
Space group R-3m (No. 166, hexagonal axes)
One atom of each set of equivalent atoms:
Nd 0.0000 0.0000 0.0892  1 Sm 3.39, 6 Nd 3.55, 3 Gd 3.59
Sm 0.0000 0.0000 0.0000  2 Nd 3.39, 6 Sm 3.55
Gd 0.0000 0.0000 0.5000  6 Gd 3.55, 6 Nd 3.59

<2>
DFT (PBE) results for crystalline Nd2SmGd at its relaxed geometry.

Summary:
* size of the total moment: 7.32 μB per formula unit
* D(E_F): 6.56 states/eV/f.u.

abc: 3.6526 3.6526 10.2726
angles: 90.00 90.00 90.00
With the nearest neighbours (Å) after each atom.
Space group P4/mmm (No. 123)
One atom of each set of equivalent atoms:
Nd 0.0000 0.0000 0.2494  4 Gd 3.64, 4 Sm 3.65, 4 Nd 3.65
Sm 0.5000 0.5000 0.5000  8 Nd 3.65, 4 Sm 3.65
Gd 0.5000 0.5000 0.0000  8 Nd 3.64, 4 Gd 3.65

<3>
DFT (PBE) results for crystalline Nd2SmGd at its relaxed geometry.

Summary:
* size of the total moment: 8.77 μB per formula unit
* D(E_F): 8.12 states/eV/f.u.

abc: 8.1974 8.1974 8.1974
angles: 90.00 90.00 90.00
With the nearest neighbours (Å) after each atom.
Space group Fm-3m (No. 225)
One atom of each set of equivalent atoms:
Nd 0.2500 0.2500 0.2500  4 Gd 3.55, 4 Sm 3.55
Sm 0.0000 0.0000 0.0000  8 Nd 3.55
Gd 0.0000 0.0000 0.5000  8 Nd 3.55

Which one sits at the bottom of the stability order? <1> does.

<1>
DFT (PBE) results for crystalline NdSm2Gd at its relaxed geometry.

Summary:
* size of the total moment: 7.27 μB per formula unit
* D(E_F): 6.48 states/eV/f.u.

abc: 5.1333 5.1333 5.1333
angles: 90.00 90.00 90.00
With the nearest neighbours (Å) after each atom.
Space group P4/mmm (No. 123)
One atom of each set of equivalent atoms:
Nd 0.0000 0.0000 0.0000  8 Sm 3.63, 4 Gd 3.63
Sm 0.0000 0.5000 0.5000  4 Gd 3.63, 4 Nd 3.63, 4 Sm 3.63
Gd 0.5000 0.5000 0.0000  8 Sm 3.63, 4 Nd 3.63

<2>
DFT (PBE) results for crystalline NdSm2Gd at its relaxed geometry.

Summary:
* size of the total moment: 7.22 μB per formula unit
* D(E_F): 6.31 states/eV/f.u.

abc: 3.6383 3.6383 10.2461
angles: 90.00 90.00 90.00
With the nearest neighbours (Å) after each atom.
Space group P4/mmm (No. 123)
One atom of each set of equivalent atoms:
Nd 0.0000 0.0000 0.0000  4 Nd 3.64, 8 Sm 3.65
Sm 0.5000 0.5000 0.2524  4 Gd 3.61, 4 Sm 3.64, 4 Nd 3.65
Gd 0.0000 0.0000 0.5000  8 Sm 3.61, 4 Gd 3.64

<3>
DFT (PBE) results for crystalline NdSm2Gd at its relaxed geometry.

Summary:
* size of the total moment: 9.01 μB per formula unit
* D(E_F): 7.11 states/eV/f.u.

abc: 8.1705 8.1705 8.1705
angles: 90.00 90.00 90.00
With the nearest neighbours (Å) after each atom.
Space group Fm-3m (No. 225)
One atom of each set of equivalent atoms:
Nd 0.0000 0.0000 0.0000  8 Sm 3.54
Sm 0.2500 0.2500 0.2500  4 Gd 3.54, 4 Nd 3.54
Gd 0.0000 0.0000 0.5000  8 Sm 3.54

Which one sits at the bottom of the stability order? <3> does.

<1>
DFT (PBE) results for crystalline Nd2GdSn at its relaxed geometry.

Summary:
* size of the total moment: 7.55 μB per formula unit
* D(E_F): 4.44 states/eV/f.u.

abc: 4.2660 4.2660 6.8185
angles: 90.00 90.00 90.00
With the nearest neighbours (Å) after each atom.
Space group P4/mmm (No. 123)
One atom of each set of equivalent atoms:
Nd 0.0000 0.0000 0.2296  1 Nd 3.13, 4 Sn 3.40
Gd 0.5000 0.5000 0.5000  2 Sn 3.41, 8 Nd 3.54
Sn 0.5000 0.5000 0.0000  8 Nd 3.40, 2 Gd 3.41

<2>
DFT (PBE) results for crystalline Nd2GdSn at its relaxed geometry.

Summary:
* size of the total moment: 8.02 μB per formula unit
* D(E_F): 6.13 states/eV/f.u.

abc: 3.5290 3.5290 36.0956
angles: 90.00 90.00 120.00
With the nearest neighbours (Å) after each atom.
Space group R-3m (No. 166, hexagonal axes)
One atom of each set of equivalent atoms:
Nd 0.0000 0.0000 0.0934  3 Sn 3.34, 1 Gd 3.37, 6 Nd 3.53
Gd 0.0000 0.0000 0.0000  2 Nd 3.37, 6 Gd 3.53
Sn 0.0000 0.0000 0.5000  6 Nd 3.34, 6 Sn 3.53

<3>
DFT (PBE) results for crystalline Nd2GdSn at its relaxed geometry.

Summary:
* size of the total moment: 7.71 μB per formula unit
* D(E_F): 3.66 states/eV/f.u.

abc: 4.9373 4.9373 4.8983
angles: 90.00 90.00 90.00
With the nearest neighbours (Å) after each atom.
Space group P4/mmm (No. 123)
One atom of each set of equivalent atoms:
Nd 0.0000 0.5000 0.0000  4 Gd 3.48, 4 Sn 3.48, 4 Nd 3.49
Gd 0.0000 0.0000 0.5000  8 Nd 3.48, 4 Sn 3.49
Sn 0.5000 0.5000 0.5000  8 Nd 3.48, 4 Gd 3.49

<4>
DFT (PBE) results for crystalline Nd2GdSn at its relaxed geometry.

Summary:
* size of the total moment: 7.94 μB per formula unit
* D(E_F): 5.59 states/eV/f.u.

abc: 7.8364 7.8364 7.8364
angles: 90.00 90.00 90.00
With the nearest neighbours (Å) after each atom.
Space group Fm-3m (No. 225)
One atom of each set of equivalent atoms:
Nd 0.2500 0.2500 0.2500  4 Sn 3.39, 4 Gd 3.39
Gd 0.0000 0.0000 0.0000  8 Nd 3.39
Sn 0.0000 0.0000 0.5000  8 Nd 3.39

Which one sits at the bottom of the stability order? <2> does.

<1>
DFT (PBE) results for crystalline SrNdGd at its relaxed geometry.

Summary:
* size of the total moment: 7.41 μB per formula unit
* D(E_F): 4.84 states/eV/f.u.

abc: 3.7879 3.7879 9.4125
angles: 90.00 90.00 120.00
With the nearest neighbours (Å) after each atom.
Space group P3m1 (No. 156)
One atom of each set of equivalent atoms:
Sr 0.0000 0.0000 0.0000  6 Sr 3.79, 3 Gd 3.96, 3 Nd 3.99
Nd 0.3333 0.6667 0.6454  3 Gd 3.53, 6 Nd 3.79
Gd 0.6667 0.3333 0.3507  3 Nd 3.53, 6 Gd 3.79

<2>
DFT (PBE) results for crystalline SrNdGd at its relaxed geometry.

Summary:
* size of the total moment: 7.43 μB per formula unit
* D(E_F): 4.21 states/eV/f.u.

abc: 3.7813 3.7813 16.3340
angles: 90.00 90.00 90.00
With the nearest neighbours (Å) after each atom.
Space group I4mm (No. 107)
One atom of each set of equivalent atoms:
Sr 0.0000 0.0000 0.0000  4 Sr 3.78, 4 Nd 3.97, 4 Gd 3.97
Nd 0.0000 0.0000 0.3201  4 Gd 3.52, 4 Nd 3.78
Gd 0.0000 0.0000 0.6799  4 Nd 3.52, 4 Gd 3.78

Which one sits at the bottom of the stability order? <1> does.

<1>
DFT (PBE) results for crystalline Tb2NdGd at its relaxed geometry.

Summary:
* size of the total moment: 7.20 μB per formula unit
* D(E_F): 6.19 states/eV/f.u.

abc: 3.6031 3.6031 10.1393
angles: 90.00 90.00 90.00
With the nearest neighbours (Å) after each atom.
Space group P4/mmm (No. 123)
One atom of each set of equivalent atoms:
Tb 0.0000 0.0000 0.2475  4 Gd 3.58, 4 Tb 3.60, 4 Nd 3.61
Nd 0.5000 0.5000 0.5000  4 Nd 3.60, 8 Tb 3.61
Gd 0.5000 0.5000 0.0000  8 Tb 3.58, 4 Gd 3.60

<2>
DFT (PBE) results for crystalline Tb2NdGd at its relaxed geometry.

Summary:
* size of the total moment: 7.19 μB per formula unit
* D(E_F): 6.32 states/eV/f.u.

abc: 5.0903 5.0903 5.0703
angles: 90.00 90.00 90.00
With the nearest neighbours (Å) after each atom.
Space group P4/mmm (No. 123)
One atom of each set of equivalent atoms:
Tb 0.0000 0.5000 0.0000  4 Gd 3.59, 4 Nd 3.59, 4 Tb 3.60
Nd 0.0000 0.0000 0.5000  8 Tb 3.59, 4 Gd 3.60
Gd 0.5000 0.5000 0.5000  8 Tb 3.59, 4 Nd 3.60

Which one sits at the bottom of the stability order? <1> does.